{"formula": "CrHg2W", "functional": "SCAN", "state": "PBEsol geometry", "ef_ev_per_fu": 2.06, "de_polymorph_mev_per_atom": 15, "space_group": "Pm (6)", "lattice": [[2.895, 0.000, 0.018], [0.000, 2.978, 0.000], [0.004, 0.000, 8.107]], "species": ["Cr", "Hg", "Hg", "W"], "frac_coords": [[0.426, 0.500, 0.722], [0.955, 0.000, 0.966], [0.540, 0.500, 0.269], [0.080, 0.000, 0.543]]}